EuLuZn: optimized geometry, PBE-GGA.

Computed properties:
E_form ... 0.00 eV/atom
Magnetic moment ... 7.3 μB per cell

The structure in CIF format:
```
data_EuLuZn
_symmetry_space_group_name_H-M 'P 3 m 1'
_symmetry_Int_Tables_number 156
_symmetry_space_group_name_Hall 'P 3 -2"'
_cell_length_a 5.0661
_cell_length_b 5.0661
_cell_length_c 3.7992
_cell_angle_alpha 90.00
_cell_angle_beta 90.00
_cell_angle_gamma 120.00
loop_
_atom_site_label
_atom_site_type_symbol
_atom_site_fract_x
_atom_site_fract_y
_atom_site_fract_z
_atom_site_occupancy
Eu1 Eu 0.0000 0.0000 0.0000 1
Lu1 Lu 0.3333 0.6667 0.5032 1
Zn1 Zn 0.6667 0.3333 0.4844 1
```